Density functional theory data (GGA-PBE) for a geometry-optimized Y2MgCu structure.

Density of states at the Fermi level, states/eV per cell: 3.19
VASP energy, eV per atom: -4.7384
Calculated formation energy, meV/atom: -83.6
Total magnetization, μB/cell: 0.00

a = 6.2063 Å, b = 6.2063 Å, c = 6.2063 Å
α = 147.34°, β = 130.63°, γ = 60.46°
Atoms (fractional coordinates):
Y1 0.7089 0.2089 0.5000
Y2 0.0035 0.0035 0.0000
Mg1 0.2975 0.7975 0.5000
Cu1 0.4900 0.4900 0.0000

Density functional theory data (GGA-PBE) for a geometry-optimized Y2MgCu3 structure.

Density of states at the Fermi level, states/eV per cell: 6.98
VASP energy, eV per atom: -4.6559
Calculated formation energy, meV/atom: -187.4
Total magnetization, μB/cell: 0.00
Relative energy among the computed polymorphs, meV per atom: 21

a = 4.7607 Å, b = 4.7609 Å, c = 12.1330 Å
α = 90.00°, β = 90.00°, γ = 120.00°
Atoms (fractional coordinates):
Y1 0.3333 0.6667 0.0921
Y2 0.3333 0.6667 0.4079
Y3 0.6667 0.3333 0.5921
Y4 0.6667 0.3333 0.9079
Cu1 0.3332 0.6664 0.6516
Cu2 0.3332 0.6664 0.8484
Cu3 0.0000 0.0000 0.0000
Cu4 0.6668 0.3336 0.3484
Cu5 0.0000 0.0000 0.5000
Cu6 0.6668 0.3336 0.1516
Mg1 0.0000 0.0000 0.2500
Mg2 0.0000 0.0000 0.7500